1.
VASP calculation (GGA-PBEsol) on an optimized crystal structure of LiNiSe2N.

The space group is P4/mmm (No. 123) and the conventional cell measures 4.564, 4.564 and 3.303 Å, with angles of 90.00, 90.00 and 90.00 degrees. Symmetry generates all atoms from Li at (0.000, 0.000, 0.000), Ni at (0.500, 0.500, 0.500), Se at (0.000, 0.500, 0.000) and N at (0.000, 0.000, 0.500).

Its formation energy (no corrections) is 1014 meV/atom. For the density of states at the Fermi level, the calculation gives 0.8056 states/eV per atom.

2.
VASP calculation (GGA-PBEsol) on an optimized crystal structure of Ca2SbRu.

The space group is I4/mmm (No. 139) and the conventional cell measures 4.468, 4.468 and 8.588 Å, with angles of 90.00, 90.00 and 90.00 degrees. Symmetry generates all atoms from Ca at (0.000, 0.500, 0.250), Sb at (0.000, 0.000, 0.000) and Ru at (0.000, 0.000, 0.500).

Its formation energy (no corrections) is -146 meV/atom. For the density of states at the Fermi level, the calculation gives 0.5603 states/eV per atom.

3.
VASP calculation (GGA-PBEsol) on an optimized crystal structure of DyMnCu4P3.

The space group is Pnma (No. 62) and the conventional cell measures 12.203, 3.699 and 10.704 Å, with angles of 90.00, 90.00 and 90.00 degrees. Symmetry generates all atoms from Dy at (0.207, 0.250, 0.089), Mn at (0.024, 0.750, 0.716), Cu at (0.004, 0.750, 0.088), Cu at (0.065, 0.750, 0.467), Cu at (0.185, 0.250, 0.792), Cu at (0.189, 0.250, 0.380), P at (0.118, 0.750, 0.908), P at (0.119, 0.250, 0.592) and P at (0.120, 0.750, 0.261).

The formation energy comes out at -503 meV per atom. For the density of states at the Fermi level, the calculation gives 0.3551 states/eV per atom.

4.
VASP calculation (GGA-PBEsol) on an optimized crystal structure of Y3ScBe.

The space group is Pm-3m (No. 221) and the conventional cell measures 5.197, 5.197 and 5.197 Å, with angles of 90.00, 90.00 and 90.00 degrees. Symmetry generates all atoms from Y at (0.000, 0.000, 0.500), Sc at (0.500, 0.500, 0.500) and Be at (0.000, 0.000, 0.000).

The formation energy comes out at 353 meV per atom. For the density of states at the Fermi level, the calculation gives 1.4160 states/eV per atom.